Here is a relaxed KHg2 crystal from the Alexandria database. Energies are from PBEsol.

Properties
Total magnetic moment = 0.00 μB per formula unit
Calculated volume = 169 Å³ per cell
Energy of formation = -0.23 eV/atom
Space-group type = Fd-3m

Geometry as POSCAR:
```
KHg2
1.0
6.2073 0.0000 0.0000
3.1037 5.3757 0.0000
3.1037 1.7919 5.0683
K Hg
2 4
Cartesian
9.3110 5.3757 3.8012
6.2073 3.5838 2.5341
1.5518 0.8960 0.6335
3.1037 1.7919 3.1677
3.1037 3.5838 0.6335
4.6555 0.8960 0.6335
```



Here is a relaxed KLaHg crystal from the Alexandria database. Energies are from PBEsol.

Properties
Total magnetic moment = 0.00 μB per formula unit
Calculated volume = 114 Å³ per cell
Energy of formation = -0.11 eV/atom
E above lowest polymorph = 0.000 eV/atom
Space-group type = I4mm

Geometry as POSCAR:
```
KLaHg
1.0
3.8459 0.0000 0.0000
0.0000 3.8459 0.0000
-1.9229 -1.9229 7.7178
La K Hg
1 1 1
Cartesian
0.0000 0.0000 5.8419
1.9229 1.9229 2.1702
1.9229 1.9229 7.4234
```



Here is a relaxed KLaHg3 crystal from the Alexandria database. Energies are from PBEsol.

Properties
Total magnetic moment = 0.00 μB per formula unit
Calculated volume = 165 Å³ per cell
Energy of formation = 0.37 eV/atom
Space-group type = Pm-3m

Geometry as POSCAR:
```
KLaHg3
1.0
5.4865 0.0000 0.0000
0.0000 5.4865 0.0000
0.0000 0.0000 5.4865
Hg K La
3 1 1
Cartesian
2.7433 0.0000 0.0000
0.0000 0.0000 2.7433
0.0000 2.7433 0.0000
0.0000 0.0000 0.0000
2.7433 2.7433 2.7433
```



Here is a relaxed K2LaHg crystal from the Alexandria database. Energies are from PBEsol.

Properties
Total magnetic moment = 0.00 μB per formula unit
Calculated volume = 178 Å³ per cell
Energy of formation = -0.08 eV/atom
Space-group type = Pm

Geometry as POSCAR:
```
K2LaHg
1.0
-1.6719 -0.9842 3.4809
0.5030 -3.8617 -0.8503
10.0635 0.2259 4.9269
K La Hg
2 1 1
Cartesian
2.2438 -2.3622 2.7122
7.6368 -0.7723 8.0249
5.8697 0.1312 2.8763
6.5678 -2.2620 4.8153
```